First-principles (PBE-GGA) data for an optimized crystal structure of Rb3NiBr, as listed in the Alexandria database.

Lattice parameters (Å, degrees): 6.2052 6.2052 6.2052 90.00 90.00 90.00
Space group Pm-3m (No. 221)
One atom of each set of equivalent atoms:
Rb 0.0000 0.0000 0.5000
Ni 0.0000 0.0000 0.0000
Br 0.5000 0.5000 0.5000

Output
**Size of the total moment**: 0.00 μB per cell
**Theoretical density**: 2.75 g/cm³
**Formation energy without anion corrections**: -0.137 eV/atom

First-principles (PBE-GGA) data for an optimized crystal structure of LaBTe2C, as listed in the Alexandria database.

Lattice parameters (Å, degrees): 4.6598 4.6598 5.1584 90.00 90.00 90.00
Space group P4/mmm (No. 123)
One atom of each set of equivalent atoms:
La 0.0000 0.0000 0.0000
B 0.5000 0.5000 0.0000
Te 0.0000 0.5000 0.5000
C 0.0000 0.0000 0.5000

Output
**Size of the total moment**: 0.00 μB per cell
**Theoretical density**: 6.18 g/cm³
**Formation energy without anion corrections**: 0.888 eV/atom

First-principles (PBE-GGA) data for an optimized crystal structure of Ba2Si7Pt12, as listed in the Alexandria database.

Lattice parameters (Å, degrees): 10.1637 10.1637 3.9939 90.00 90.00 120.00
Space group P-6 (No. 174)
One atom of each set of equivalent atoms:
Ba 0.0000 0.0000 0.0000
Ba 0.3333 0.6667 0.5000
Si 0.0635 0.4446 0.0000
Si 0.2703 0.2285 0.5000
Si 0.6667 0.3333 0.0000
Pt 0.0477 0.2741 0.5000
Pt 0.1090 0.7144 0.0000
Pt 0.4016 0.1855 0.0000
Pt 0.5271 0.4438 0.5000

Output
**Size of the total moment**: 0.00 μB per cell
**Theoretical density**: 13.07 g/cm³
**Formation energy without anion corrections**: -0.717 eV/atom

First-principles (PBE-GGA) data for an optimized crystal structure of NiCl, as listed in the Alexandria database.

Lattice parameters (Å, degrees): 3.4369 11.3487 3.3466 90.00 90.00 90.00
Space group Cmcm (No. 63)
One atom of each set of equivalent atoms:
Ni 0.0000 0.1406 0.2500
Cl 0.0000 0.3633 0.2500

Output
**Size of the total moment**: 3.57 μB per cell
**Theoretical density**: 4.79 g/cm³
**Formation energy without anion corrections**: 0.122 eV/atom

First-principles (PBE-GGA) data for an optimized crystal structure of DyUIr, as listed in the Alexandria database.

Lattice parameters (Å, degrees): 8.2797 3.7328 8.6616 90.00 90.00 90.00
Space group Pnma (No. 62)
One atom of each set of equivalent atoms:
Dy 0.0411 0.2500 0.1643
U 0.1052 0.2500 0.5367
Ir 0.2334 0.2500 0.8549

Output
**ΔH_f (0 K)**: -0.51 eV/atom
**Size of the total moment**: 2.49 μB per cell
**Theoretical density**: 14.71 g/cm³

First-principles (PBE-GGA) data for an optimized crystal structure of PrTmHg, as listed in the Alexandria database.

Lattice parameters (Å, degrees): 3.6769 3.6769 12.9103 90.00 90.00 90.00
Space group I4mm (No. 107)
One atom of each set of equivalent atoms:
Pr 0.0000 0.0000 0.0000
Tm 0.0000 0.0000 0.3066
Hg 0.0000 0.0000 0.6726

Output
**ΔH_f (0 K)**: -0.30 eV/atom
**Size of the total moment**: 1.35 μB per cell
**Theoretical density**: 9.71 g/cm³

First-principles (PBE-GGA) data for an optimized crystal structure of Er7Te2Ru2, as listed in the Alexandria database.

Lattice parameters (Å, degrees): 3.9258 15.7140 9.2843 90.00 90.00 90.00
Space group Imm2 (No. 44)
One atom of each set of equivalent atoms:
Er 0.0000 0.0000 0.0000
Er 0.0000 0.1334 0.4186
Er 0.0000 0.3160 0.6265
Er 0.0000 0.3499 0.2620
Te 0.0000 0.0000 0.6650
Te 0.0000 0.5000 0.7665
Ru 0.0000 0.2384 0.9321

Output
**Size of the total moment**: 0.00 μB per cell
**Theoretical density**: 9.44 g/cm³
**Formation energy without anion corrections**: -0.721 eV/atom

First-principles (PBE-GGA) data for an optimized crystal structure of K2AgPb, as listed in the Alexandria database.

Lattice parameters (Å, degrees): 3.9024 3.9024 33.2650 90.00 90.00 120.00
Space group R-3m (No. 166, hexagonal axes)
One atom of each set of equivalent atoms:
K 0.0000 0.0000 0.2427
Ag 0.0000 0.0000 0.5000
Pb 0.0000 0.0000 0.0000

Output
**ΔH_f (0 K)**: 0.15 eV/atom
**Size of the total moment**: 1.66 μB per cell
**Theoretical density**: 4.47 g/cm³

First-principles (PBE-GGA) data for an optimized crystal structure of CdGa2Bi, as listed in the Alexandria database.

Lattice parameters (Å, degrees): 6.8231 6.8231 11.0181 90.00 90.00 90.00
Space group I-42d (No. 122)
One atom of each set of equivalent atoms:
Cd 0.0000 0.0000 0.0000
Ga 0.2438 0.2500 0.1250
Bi 0.0000 0.0000 0.5000

Output
**ΔH_f (0 K)**: 0.23 eV/atom
**Size of the total moment**: 0.00 μB per cell
**Theoretical density**: 5.97 g/cm³

First-principles (PBE-GGA) data for an optimized crystal structure of HgPtW2, as listed in the Alexandria database.

Lattice parameters (Å, degrees): 9.7296 2.8169 5.0156 90.00 100.24 90.00
Space group C2/m (No. 12)
One atom of each set of equivalent atoms:
Hg 0.0000 0.0000 0.0000
Pt 0.0000 0.5000 0.5000
W 0.2419 0.0000 0.7361

Output
**ΔH_f (0 K)**: 0.40 eV/atom
**Size of the total moment**: 0.00 μB per cell
**Theoretical density**: 18.74 g/cm³

First-principles (PBE-GGA) data for an optimized crystal structure of AlOsAu2, as listed in the Alexandria database.

Lattice parameters (Å, degrees): 9.8155 2.8592 4.7696 90.00 105.68 90.00
Space group C2/m (No. 12)
One atom of each set of equivalent atoms:
Al 0.0000 0.0000 0.0000
Os 0.0000 0.5000 0.5000
Au 0.2385 0.5000 0.2451

Output
**ΔH_f (0 K)**: 0.18 eV/atom
**Size of the total moment**: 0.00 μB per cell
**Theoretical density**: 15.75 g/cm³

First-principles (PBE-GGA) data for an optimized crystal structure of Ho2Tm5Sc2, as listed in the Alexandria database.

Lattice parameters (Å, degrees): 17.3255 3.4096 9.2891 90.00 104.40 90.00
Space group C2/m (No. 12)
One atom of each set of equivalent atoms:
Ho 0.1480 0.0000 0.0286
Tm 0.0000 0.0000 0.5000
Tm 0.1578 0.5000 0.7119
Tm 0.1687 0.0000 0.3993
Sc 0.0123 0.5000 0.1778

Output
**ΔH_f (0 K)**: 0.11 eV/atom
**Size of the total moment**: 0.00 μB per cell
**Theoretical density**: 7.90 g/cm³

> Look up the theoretical density of the sixth one.

9.71 g/cm³

> Among the records above, which one has the lowest theoretical density?

Rb3NiBr

> theoretical density of number 9 (CdGa2Bi)?

5.97 g/cm³